1.
Entry from OQMD: a relaxed structure of ScInCoTe3 (PBE-GGA).

Size of the total moment (μB/f.u.): 1.5
V (Å³/cell): 321.0
Crystal system: orthorhombic
Total DFT energy (no corrections) (eV for the cell shown): -57.3

abc: 7.9659 7.9659 10.4578
angles: 90.00 90.00 151.07
With the nearest neighbours (Å) after each atom.
Element x y z (fractional)
Sc1 0.0000 0.0000 0.0000  6 Te 2.90-2.93
Sc2 0.0000 0.0000 0.5000  6 Te 2.90-2.93
In1 0.2470 0.7530 0.7500  6 Te 3.27-3.32
In2 0.7530 0.2470 0.2500  6 Te 3.27-3.32
Co1 0.4785 0.5215 0.2500  4 Te 2.53-2.54
Co2 0.5215 0.4785 0.7500  4 Te 2.53-2.54
Te1 0.0807 0.9193 0.2500  2 Co 2.54
Te2 0.3690 0.6310 0.0697  1 Co 2.53
Te3 0.3690 0.6310 0.4303  1 Co 2.53
Te4 0.6310 0.3690 0.5697  1 Co 2.53
Te5 0.6310 0.3690 0.9303  1 Co 2.53
Te6 0.9193 0.0807 0.7500  2 Co 2.54

2.
Entry from OQMD: a relaxed structure of PaCoSn (PBE-GGA).

Size of the total moment (μB/f.u.): 0.1
V (Å³/cell): 65.2
Crystal system: cubic
Total DFT energy (no corrections) (eV for the cell shown): -21.9

abc: 4.5172 4.5172 4.5172
angles: 60.00 60.00 60.00
With the nearest neighbours (Å) after each atom.
Element x y z (fractional)
Pa1 0.0000 0.0000 0.0000  4 Co 2.77
Co1 0.2500 0.2500 0.2500  4 Sn 2.77, 4 Pa 2.77
Sn1 0.5000 0.5000 0.5000  4 Co 2.77

3.
Entry from OQMD: a relaxed structure of YNbCuSi (PBE-GGA).

Size of the total moment (μB/f.u.): 0.0
V (Å³/cell): 70.0
Offset from the most stable computed form (eV/atom): 0.0000
Crystal system: cubic
Total DFT energy (no corrections) (eV for the cell shown): -24.6

abc: 4.6255 4.6255 4.6255
angles: 60.00 60.00 60.00
With the nearest neighbours (Å) after each atom.
Element x y z (fractional)
Y1 0.0000 0.0000 0.0000  4 Nb 2.83, 4 Cu 2.83
Nb1 0.2500 0.2500 0.2500  4 Si 2.83, 4 Y 2.83
Cu1 0.7500 0.7500 0.7500  4 Si 2.83, 4 Y 2.83
Si1 0.5000 0.5000 0.5000  4 Nb 2.83, 4 Cu 2.83

4.
Entry from OQMD: a relaxed structure of SrSmCdAs2 (PBE-GGA).

Size of the total moment (μB/f.u.): 0.0
V (Å³/cell): 269.7
Crystal system: orthorhombic
Total DFT energy (no corrections) (eV for the cell shown): -42.3

abc: 9.1481 9.1481 6.9705
angles: 90.00 90.00 152.46
With the nearest neighbours (Å) after each atom.
Element x y z (fractional)
Sr1 0.1976 0.8024 0.5000  5 As 3.14-3.45
Sr2 0.8024 0.1976 0.0000  5 As 3.14-3.45
Sm1 0.0280 0.9720 0.1780  5 As 2.92-3.06
Sm2 0.9720 0.0280 0.6780  5 As 2.92-3.06
Cd1 0.3947 0.6053 0.3509  3 As 2.69-2.75
Cd2 0.6053 0.3947 0.8509  3 As 2.69-2.75
As1 0.1752 0.8248 0.9917  2 Cd 2.69, 1 Sm 2.92
As2 0.4381 0.5619 0.9721  1 Cd 2.75, 4 Sm 3.05-3.06
As3 0.5619 0.4381 0.4721  1 Cd 2.75, 4 Sm 3.05-3.06
As4 0.8248 0.1752 0.4917  2 Cd 2.69, 1 Sm 2.92

5.
Entry from OQMD: a relaxed structure of Cs2TlAgBr6 (PBE-GGA).

V (Å³/cell): 712.2
Crystal system: triclinic
Total DFT energy (no corrections) (eV for the cell shown): -54.3

abc: 7.9546 7.9551 11.2542
angles: 90.00 89.99 89.99
With the nearest neighbours (Å) after each atom.
Element x y z (fractional)
Cs1 0.0000 0.0000 0.0000  12 Br 3.93-4.03
Cs2 0.9996 0.9998 0.4995  12 Br 3.93-4.03
Cs3 0.5001 0.4999 0.9997  12 Br 3.93-4.03
Cs4 0.5000 0.4998 0.4998  12 Br 3.93-4.03
Tl1 0.9997 0.5000 0.2497  6 Br 2.84
Tl2 0.5003 0.9998 0.7497  6 Br 2.84
Ag1 0.0003 0.4998 0.7497  6 Br 2.78-2.79
Ag2 0.4996 0.0000 0.2497  6 Br 2.78-2.79
Br1 0.9997 0.5011 0.5021  1 Ag 2.79, 1 Tl 2.84
Br2 0.0008 0.4987 0.9973  1 Ag 2.79, 1 Tl 2.84
Br3 0.2419 0.2465 0.7488  1 Ag 2.78, 1 Tl 2.84
Br4 0.2491 0.7555 0.2493  1 Ag 2.78, 1 Tl 2.84
Br5 0.2535 0.7418 0.7500  1 Ag 2.79, 1 Tl 2.84
Br6 0.2554 0.2507 0.2506  1 Ag 2.78, 1 Tl 2.84
Br7 0.4994 0.0012 0.0021  1 Ag 2.79, 1 Tl 2.84
Br8 0.5000 0.9986 0.4973  1 Ag 2.79, 1 Tl 2.84
Br9 0.7439 0.7492 0.2489  1 Ag 2.79, 1 Tl 2.84
Br10 0.7470 0.2578 0.7494  1 Ag 2.79, 1 Tl 2.84
Br11 0.7503 0.2446 0.2502  1 Ag 2.79, 1 Tl 2.84
Br12 0.7586 0.7532 0.7507  1 Ag 2.79, 1 Tl 2.84

6.
Entry from OQMD: a relaxed structure of Nd3Si2ClO8 (PBE-GGA).

Size of the total moment (μB/f.u.): 0.0
V (Å³/cell): 813.6
Offset from the most stable computed form (eV/atom): 0.0000
Crystal system: orthorhombic
Total DFT energy (no corrections) (eV for the cell shown): -443.2

abc: 7.1026 18.1410 6.3143
angles: 90.00 90.00 90.00
With the nearest neighbours (Å) after each atom.
Element x y z (fractional)
Nd1 0.0261 0.0917 0.1266  6 O 2.31-2.56
Nd2 0.0261 0.4083 0.1266  6 O 2.31-2.56
Nd3 0.1919 0.7500 0.3834  6 O 2.41-2.57
Nd4 0.3081 0.2500 0.8834  6 O 2.41-2.57
Nd5 0.4739 0.5917 0.6266  6 O 2.31-2.56
Nd6 0.4739 0.9083 0.6266  6 O 2.31-2.56
Nd7 0.5261 0.0917 0.3734  6 O 2.31-2.56
Nd8 0.5261 0.4083 0.3734  6 O 2.31-2.56
Nd9 0.6919 0.7500 0.1166  6 O 2.41-2.57
Nd10 0.8081 0.2500 0.6166  6 O 2.41-2.57
Nd11 0.9739 0.5917 0.8734  6 O 2.31-2.56
Nd12 0.9739 0.9083 0.8734  6 O 2.31-2.56
Si1 0.0346 0.0999 0.6222  4 O 1.62-1.67
Si2 0.0346 0.4001 0.6222  4 O 1.62-1.67
Si3 0.4654 0.5999 0.1222  4 O 1.62-1.67
Si4 0.4654 0.9001 0.1222  4 O 1.62-1.67
Si5 0.5346 0.0999 0.8778  4 O 1.62-1.67
Si6 0.5346 0.4001 0.8778  4 O 1.62-1.67
Si7 0.9654 0.5999 0.3778  4 O 1.62-1.67
Si8 0.9654 0.9001 0.3778  4 O 1.62-1.67
Cl1 0.0603 0.2500 0.2439  4 Nd 2.88-2.98, 2 O 3.16
Cl2 0.4397 0.7500 0.7439  4 Nd 2.88-2.98, 2 O 3.16
Cl3 0.5603 0.2500 0.2561  4 Nd 2.88-2.98, 2 O 3.16
Cl4 0.9397 0.7500 0.7561  4 Nd 2.88-2.98, 2 O 3.16
O1 0.0196 0.0304 0.7831  1 Si 1.62
O2 0.0196 0.4696 0.7831  1 Si 1.62
O3 0.0458 0.1742 0.7790  1 Si 1.67
O4 0.0458 0.3258 0.7790  1 Si 1.67
O5 0.1509 0.6188 0.5284  1 Si 1.66
O6 0.1509 0.8812 0.5284  1 Si 1.66
O7 0.2065 0.0960 0.4533  1 Si 1.62
O8 0.2065 0.4040 0.4533  1 Si 1.62
O9 0.2935 0.5960 0.9533  1 Si 1.62
O10 0.2935 0.9040 0.9533  1 Si 1.62
O11 0.3491 0.1188 0.0284  1 Si 1.66
O12 0.3491 0.3812 0.0284  1 Si 1.66
O13 0.4542 0.6742 0.2790  1 Si 1.67
O14 0.4542 0.8258 0.2790  1 Si 1.67
O15 0.4804 0.5304 0.2831  1 Si 1.62
O16 0.4804 0.9696 0.2831  1 Si 1.62
O17 0.5196 0.0304 0.7169  1 Si 1.62
O18 0.5196 0.4696 0.7169  1 Si 1.62
O19 0.5458 0.1742 0.7210  1 Si 1.67
O20 0.5458 0.3258 0.7210  1 Si 1.67
O21 0.6509 0.6188 0.9716  1 Si 1.66
O22 0.6509 0.8812 0.9716  1 Si 1.66
O23 0.7065 0.0960 0.0467  1 Si 1.62
O24 0.7065 0.4040 0.0467  1 Si 1.62
O25 0.7935 0.5960 0.5467  1 Si 1.62
O26 0.7935 0.9040 0.5467  1 Si 1.62
O27 0.8491 0.1188 0.4716  1 Si 1.66
O28 0.8491 0.3812 0.4716  1 Si 1.66
O29 0.9542 0.6742 0.2210  1 Si 1.67
O30 0.9542 0.8258 0.2210  1 Si 1.67
O31 0.9804 0.5304 0.2169  1 Si 1.62
O32 0.9804 0.9696 0.2169  1 Si 1.62

7.
Entry from OQMD: a relaxed structure of MgCdCuAs (PBE-GGA).

V (Å³/cell): 72.5
Offset from the most stable computed form (eV/atom): 0.0000
Crystal system: cubic
Total DFT energy (no corrections) (eV for the cell shown): -10.7

abc: 4.6798 4.6798 4.6798
angles: 60.00 60.00 60.00
With the nearest neighbours (Å) after each atom.
Element x y z (fractional)
Mg1 0.0000 0.0000 0.0000  4 As 2.87, 4 Cd 2.87
Cd1 0.2500 0.2500 0.2500  4 Mg 2.87, 4 Cu 2.87
Cu1 0.5000 0.5000 0.5000  4 As 2.87, 4 Cd 2.87
As1 0.7500 0.7500 0.7500  4 Mg 2.87, 4 Cu 2.87

8.
Entry from OQMD: a relaxed structure of ScAlZn2 (PBE-GGA).

Size of the total moment (μB/f.u.): 0.0
V (Å³/cell): 66.7
Crystal system: cubic
Total DFT energy (no corrections) (eV for the cell shown): -13.4

abc: 4.5533 4.5533 4.5533
angles: 60.00 60.00 60.00
With the nearest neighbours (Å) after each atom.
Element x y z (fractional)
Sc1 0.0000 0.0000 0.0000  4 Al 2.79, 4 Zn 2.79
Al1 0.7500 0.7500 0.7500  4 Zn 2.79, 4 Sc 2.79
Zn1 0.2500 0.2500 0.2500  4 Sc 2.79, 4 Zn 2.79
Zn2 0.5000 0.5000 0.5000  4 Al 2.79, 4 Zn 2.79

9.
Entry from OQMD: a relaxed structure of TePt15 (PBE-GGA).

Size of the total moment (μB/f.u.): 0.2
V (Å³/cell): 722.4
Offset from the most stable computed form (eV/atom): 0.0564
Crystal system: monoclinic
Total DFT energy (no corrections) (eV for the cell shown): -185.1

abc: 7.8008 2.8538 32.4484
angles: 90.00 90.01 90.00
With the nearest neighbours (Å) after each atom.
Element x y z (fractional)
Te1 0.0000 0.0000 0.0000  5 Pt 2.72-2.85, 2 Te 2.85
Te2 0.2500 0.5000 0.6511  5 Pt 2.72-2.85, 2 Te 2.85
Pt1 0.9999 0.0000 0.0878  11 Pt 2.79-2.85, 1 Te 2.85
Pt2 0.0001 0.0000 0.1752  12 Pt 2.77-2.85
Pt3 0.0019 0.0000 0.4327  12 Pt 2.78-2.85
Pt4 0.0029 0.0000 0.5194  12 Pt 2.78-2.95
Pt5 0.0059 0.0000 0.6104  9 Pt 2.72-2.95, 2 Te 2.72
Pt6 0.2439 0.5000 0.0407  9 Pt 2.72-2.95, 2 Te 2.72
Pt7 0.2475 0.5000 0.2182  12 Pt 2.78-2.85
Pt8 0.2478 0.5000 0.1318  12 Pt 2.79-2.95
Pt9 0.2503 0.5000 0.4761  12 Pt 2.78-2.85
Pt10 0.2500 0.5000 0.5633  11 Pt 2.78-2.85, 1 Te 2.85
Pt11 0.2515 0.5000 0.3039  12 Pt 2.77-2.85
Pt12 0.2508 0.5000 0.3892  12 Pt 2.77-2.85
Pt13 0.4940 0.0000 0.6106  9 Pt 2.71-2.94, 2 Te 2.72
Pt14 0.4972 0.0000 0.5199  12 Pt 2.78-2.94
Pt15 0.4983 0.0000 0.4332  12 Pt 2.78-2.85
Pt16 0.5001 0.0000 0.0049  7 Pt 2.71-2.85
Pt17 0.4996 0.0000 0.0887  12 Pt 2.72-2.91
Pt18 0.4999 0.0000 0.1739  12 Pt 2.77-2.85
Pt19 0.5007 0.0000 0.2602  12 Pt 2.79-2.85
Pt20 0.5012 0.0000 0.3467  12 Pt 2.77-2.85
Pt21 0.7483 0.5000 0.3042  12 Pt 2.77-2.85
Pt22 0.7495 0.5000 0.3909  12 Pt 2.79-2.85
Pt23 0.7497 0.5000 0.4770  12 Pt 2.78-2.85
Pt24 0.7504 0.5000 0.5626  12 Pt 2.72-2.91
Pt25 0.7499 0.5000 0.6463  7 Pt 2.71-2.85
Pt26 0.7520 0.5000 0.1312  12 Pt 2.79-2.94
Pt27 0.7524 0.5000 0.2179  12 Pt 2.77-2.85
Pt28 0.7563 0.5000 0.0405  9 Pt 2.71-2.94, 2 Te 2.72
Pt29 0.9989 0.0000 0.2616  12 Pt 2.77-2.85
Pt30 0.9991 0.0000 0.3471  12 Pt 2.77-2.85

10.
Entry from OQMD: a relaxed structure of NbZnAu2 (PBE-GGA).

Size of the total moment (μB/f.u.): 0.0
V (Å³/cell): 68.2
ΔE_f (eV/atom): -0.002
Crystal system: cubic
Total DFT energy (no corrections) (eV for the cell shown): -17.9

abc: 4.5857 4.5857 4.5857
angles: 60.00 60.00 60.00
With the nearest neighbours (Å) after each atom.
Element x y z (fractional)
Nb1 0.0000 0.0000 0.0000  4 Zn 2.81, 4 Au 2.81
Zn1 0.2500 0.2500 0.2500  4 Au 2.81, 4 Nb 2.81
Au1 0.5000 0.5000 0.5000  4 Zn 2.81, 4 Au 2.81
Au2 0.7500 0.7500 0.7500  4 Nb 2.81, 4 Au 2.81